DFT (PBE) results for CsBe3F after structural relaxation.

Computed properties:
Energy ... -0.9988 eV per atom
Energy relative to the elements, uncorrected ... 172 kJ/mol of atoms
Space group ... Pm-3m, No. 221
Theoretical density ... 0.84 g cm⁻³
Total magnetization ... 0.06 μB/cell

Cell: 7.082 7.082 7.082 Å, 90.00 90.00 90.00°
Fractional coordinates of all 5 atoms:
F 0.500 0.500 0.500
Cs 0.000 0.000 0.000
Be 0.000 0.500 0.000
Be 0.500 0.000 0.000
Be 0.000 0.000 0.500

=====

DFT (PBE) results for TlPb2S2 after structural relaxation.

Computed properties:
Energy ... -3.8546 eV per atom
Energy relative to the elements, uncorrected ... -24 kJ/mol of atoms
Space group ... I4/mmm, No. 139
Theoretical density ... 7.37 g cm⁻³
Total magnetization ... 0.00 μB/cell

Cell: 5.400 5.400 6.511 Å, 65.50 65.50 90.00°
Fractional coordinates of all 5 atoms:
Pb 0.658 0.658 0.685
S 0.250 0.750 0.500
S 0.750 0.250 0.500
Tl 0.000 0.000 0.000
Pb 0.342 0.342 0.315

=====

DFT (PBE) results for TaNi2Br after structural relaxation.

Computed properties:
Energy ... -5.5810 eV per atom
Energy relative to the elements, uncorrected ... 67 kJ/mol of atoms
Space group ... Fm-3m, No. 225
Theoretical density ... 10.23 g cm⁻³
Total magnetization ... 0.00 μB/cell

Cell: 4.429 4.429 4.429 Å, 60.00 60.00 60.00°
Fractional coordinates of all 4 atoms:
Br 0.000 0.000 0.000
Ni 0.250 0.250 0.250
Ni 0.750 0.750 0.750
Ta 0.500 0.500 0.500

=====

DFT (PBE) results for ZrTa2Tc after structural relaxation.

Computed properties:
Energy ... -10.4802 eV per atom
Energy relative to the elements ... 0.17 eV per atom
Space group ... Pmmm, No. 47
Theoretical density ... 12.37 g cm⁻³
Total magnetization ... 0.00 μB/cell

Cell: 3.148 4.154 5.658 Å, 90.00 90.00 90.00°
Fractional coordinates of all 4 atoms:
Ta 0.000 0.000 0.484
Zr 0.500 0.500 0.750
Ta 0.000 0.000 0.016
Tc 0.500 0.500 0.250

=====

DFT (PBE) results for SrIn2BBr after structural relaxation.

Computed properties:
Energy ... -2.3889 eV per atom
Energy relative to the elements, uncorrected ... 69 kJ/mol of atoms
Space group ... P4/mmm, No. 123
Theoretical density ... 4.28 g cm⁻³
Total magnetization ... 0.00 μB/cell

Cell: 5.959 4.459 5.959 Å, 90.00 90.00 90.00°
Fractional coordinates of all 5 atoms:
In 0.000 0.000 0.500
Sr 0.500 0.500 0.500
In 0.500 0.000 0.000
Br 0.000 0.000 0.000
B 0.000 0.500 0.000

=====

DFT (PBE) results for Zr6MnBi3 after structural relaxation.

Computed properties:
Energy ... -7.3575 eV per atom
Energy relative to the elements ... -0.15 eV per atom
Space group ... P2_1/m, No. 11
Theoretical density ... 8.96 g cm⁻³
Total magnetization ... 5.22 μB/cell

Cell: 5.227 8.517 10.974 Å, 111.08 90.00 90.00°
Fractional coordinates of all 20 atoms:
Zr 0.250 0.475 0.096
Zr 0.750 0.364 0.306
Mn 0.250 0.929 0.616
Bi 0.750 0.226 0.002
Zr 0.250 0.041 0.878
Zr 0.750 0.959 0.122
Zr 0.750 0.758 0.508
Bi 0.250 0.331 0.788
Bi 0.250 0.553 0.398
Bi 0.750 0.447 0.602
Bi 0.250 0.774 0.998
Zr 0.750 0.836 0.806
Zr 0.250 0.636 0.694
Mn 0.750 0.071 0.384
Zr 0.250 0.164 0.194
Bi 0.750 0.669 0.212
Zr 0.250 0.879 0.325
Zr 0.250 0.242 0.492
Zr 0.750 0.121 0.675
Zr 0.750 0.525 0.904

=====

DFT (PBE) results for K2AgH6Au after structural relaxation.

Computed properties:
Energy ... -2.9716 eV per atom
Space group ... I4/mmm, No. 139
Theoretical density ... 4.56 g cm⁻³
Total magnetization ... 0.00 μB/cell

Cell: 5.674 5.674 5.954 Å, 61.54 61.54 90.00°
Fractional coordinates of all 10 atoms:
K 0.750 0.250 0.500
Ag 0.000 0.000 0.000
K 0.250 0.750 0.500
H 0.803 0.803 0.394
H 0.710 0.290 0.000
H 0.290 0.290 0.000
H 0.710 0.710 0.000
H 0.197 0.197 0.606
H 0.290 0.710 0.000
Au 0.500 0.500 0.000

=====

DFT (PBE) results for FeWSe after structural relaxation.

Computed properties:
Energy ... -7.8505 eV per atom
Energy relative to the elements, uncorrected ... 43 kJ/mol of atoms
Space group ... P3m1, No. 156
Theoretical density ... 12.54 g cm⁻³
Total magnetization ... 0.70 μB/cell

Cell: 4.034 4.034 2.994 Å, 90.00 90.00 120.00°
Fractional coordinates of all 3 atoms:
Se 0.667 0.333 0.168
W 0.333 0.667 0.667
Fe 0.000 0.000 0.165

=====

DFT (PBE) results for NbRhNO2 after structural relaxation.

Computed properties:
Energy ... -6.9407 eV per atom
Energy relative to the elements, uncorrected ... 19 kJ/mol of atoms
Space group ... P4/mmm, No. 123
Theoretical density ... 6.96 g cm⁻³
Total magnetization ... 0.00 μB/cell

Cell: 3.856 3.856 3.883 Å, 90.00 90.00 90.00°
Fractional coordinates of all 5 atoms:
Rh 0.000 0.000 0.000
N 0.000 0.000 0.500
Nb 0.500 0.500 0.500
O 0.500 0.000 0.000
O 0.000 0.500 0.000

=====

DFT (PBE) results for ZrMo2Se after structural relaxation.

Computed properties:
Energy ... -8.4042 eV per atom
Energy relative to the elements, uncorrected ... 2 kJ/mol of atoms
Space group ... Pmm2, No. 25
Theoretical density ... 8.55 g cm⁻³
Total magnetization ... 0.00 μB/cell

Cell: 3.153 4.203 5.303 Å, 90.00 90.00 90.00°
Fractional coordinates of all 4 atoms:
Zr 0.500 0.500 0.739
Se 0.000 0.000 0.511
Mo 0.500 0.500 0.225
Mo 0.000 0.000 0.024

=====

DFT (PBE) results for NaHfAgF2 after structural relaxation.

Computed properties:
Energy ... -4.0673 eV per atom
Energy relative to the elements, uncorrected ... -48 kJ/mol of atoms
Space group ... P4/mmm, No. 123
Theoretical density ... 5.93 g cm⁻³
Total magnetization ... 0.64 μB/cell

Cell: 4.104 5.769 4.104 Å, 90.00 90.00 90.00°
Fractional coordinates of all 5 atoms:
F 0.000 0.000 0.500
Na 0.000 0.000 0.000
F 0.500 0.000 0.000
Ag 0.500 0.500 0.500
Hf 0.000 0.500 0.000

=====

DFT (PBE) results for SrTmPdRh after structural relaxation.

Computed properties:
Energy ... -5.2316 eV per atom
Energy relative to the elements ... -0.56 eV per atom
Space group ... F-43m, No. 216
Theoretical density ... 8.80 g cm⁻³
Total magnetization ... 0.00 μB/cell

Cell: 4.991 4.991 4.991 Å, 60.00 60.00 60.00°
Fractional coordinates of all 4 atoms:
Sr 0.750 0.750 0.750
Rh 0.500 0.500 0.500
Tm 0.250 0.250 0.250
Pd 0.000 0.000 0.000

=====

DFT (PBE) results for Nb2PC after structural relaxation.

Computed properties:
Energy ... -8.7110 eV per atom
Energy relative to the elements ... -0.02 eV per atom
Space group ... I-42d, No. 122
Theoretical density ... 5.39 g cm⁻³
Total magnetization ... 0.00 μB/cell

Cell: 5.238 5.238 6.338 Å, 65.59 65.59 90.00°
Fractional coordinates of all 8 atoms:
C 0.500 0.500 0.000
Nb 0.183 0.625 0.250
C 0.250 0.750 0.500
Nb 0.567 0.125 0.250
P 0.000 0.000 0.000
P 0.750 0.250 0.500
Nb 0.375 0.433 0.750
Nb 0.875 0.817 0.750

=====

DFT (PBE) results for Ru2PbSe after structural relaxation.

Computed properties:
Energy ... -6.2050 eV per atom
Energy relative to the elements, uncorrected ... 22 kJ/mol of atoms
Space group ... Pmm2, No. 25
Theoretical density ... 10.83 g cm⁻³
Total magnetization ... 0.00 μB/cell

Cell: 4.682 3.233 4.946 Å, 89.99 90.00 90.00°
Fractional coordinates of all 4 atoms:
Ru 0.000 0.875 0.074
Se 0.000 0.375 0.426
Ru 0.500 0.375 0.240
Pb 0.500 0.875 0.760

=====

DFT (PBE) results for SrHfCd after structural relaxation.

Computed properties:
Energy ... -4.0719 eV per atom
Energy relative to the elements ... 0.11 eV per atom
Space group ... Imma, No. 74
Theoretical density ... 7.26 g cm⁻³
Total magnetization ... 0.00 μB/cell

Cell: 5.672 6.802 8.971 Å, 90.00 90.00 90.00°
Fractional coordinates of all 12 atoms:
Cd 0.500 0.000 0.500
Hf 0.750 0.250 0.250
Cd 0.500 0.500 0.500
Hf 0.250 0.750 0.750
Cd 0.000 0.000 0.000
Hf 0.750 0.750 0.750
Hf 0.250 0.250 0.250
Sr 0.000 0.250 0.622
Cd 0.000 0.500 0.000
Sr 0.500 0.250 0.878
Sr 0.500 0.750 0.122
Sr 0.000 0.750 0.378

=====

DFT (PBE) results for Tb2HoIr2 after structural relaxation.

Computed properties:
Energy ... -7.0479 eV per atom
Energy relative to the elements ... -0.74 eV per atom
Space group ... P2_1/m, No. 11
Theoretical density ... 11.50 g cm⁻³
Total magnetization ... 0.00 μB/cell

Cell: 4.361 5.570 11.285 Å, 113.96 90.00 90.00°
Fractional coordinates of all 10 atoms:
Ir 0.250 0.316 0.976
Ir 0.750 0.684 0.024
Ho 0.750 0.191 0.795
Tb 0.250 0.280 0.531
Tb 0.250 0.769 0.879
Ir 0.250 0.884 0.643
Ir 0.750 0.116 0.357
Tb 0.750 0.720 0.469
Ho 0.250 0.809 0.205
Tb 0.750 0.231 0.121

=====

DFT (PBE) results for LaCF2 after structural relaxation.

Computed properties:
Energy ... -5.8161 eV per atom
Energy relative to the elements, uncorrected ... -130 kJ/mol of atoms
Space group ... R-3m, No. 166
Theoretical density ... 5.89 g cm⁻³
Total magnetization ... 1.00 μB/cell

Cell: 4.075 4.075 4.075 Å, 65.19 65.19 65.19°
Fractional coordinates of all 4 atoms:
F 0.212 0.212 0.212
C 0.000 0.000 0.000
La 0.500 0.500 0.500
F 0.788 0.788 0.788

=====

DFT (PBE) results for Pm2ErRh3 after structural relaxation.

Computed properties:
Energy ... -6.7794 eV per atom
Energy relative to the elements ... -0.76 eV per atom
Space group ... P2/m, No. 10
Theoretical density ... 10.08 g cm⁻³
Total magnetization ... 0.00 μB/cell

Cell: 4.871 7.707 7.083 Å, 90.00 90.00 71.68°
Fractional coordinates of all 12 atoms:
Er 0.668 0.664 0.000
Pm 0.333 0.334 0.500
Rh 0.500 0.000 0.756
Rh 0.169 0.662 0.240
Rh 0.500 0.000 0.244
Rh 0.169 0.662 0.760
Rh 0.831 0.338 0.240
Pm 0.667 0.666 0.500
Rh 0.831 0.338 0.760
Pm 0.000 0.000 0.000
Er 0.332 0.336 0.000
Pm 0.000 0.000 0.500

=====

DFT (PBE) results for Y2MnIn after structural relaxation.

Computed properties:
Energy ... -6.2943 eV per atom
Energy relative to the elements ... -0.09 eV per atom
Space group ... Imm2, No. 44
Theoretical density ... 5.78 g cm⁻³
Total magnetization ... 2.83 μB/cell

Cell: 6.292 6.292 6.292 Å, 147.20 131.70 59.61°
Fractional coordinates of all 4 atoms:
In 0.532 0.532 0.000
Y 0.973 0.973 0.000
Mn 0.731 0.231 0.500
Y 0.264 0.764 0.500

=====

DFT (PBE) results for Ba2HgSb after structural relaxation.

Computed properties:
Energy ... -2.8454 eV per atom
Energy relative to the elements, uncorrected ... -75 kJ/mol of atoms
Space group ... Fm-3m, No. 225
Theoretical density ... 6.56 g cm⁻³
Total magnetization ... 0.00 μB/cell

Cell: 5.979 5.979 5.979 Å, 60.00 60.00 60.00°
Fractional coordinates of all 4 atoms:
Hg 0.500 0.500 0.500
Ba 0.750 0.750 0.750
Ba 0.250 0.250 0.250
Sb 0.000 0.000 0.000